First-principles (PBE) data for a relaxed structure of La2W, as listed in the Alexandria database.

a = 7.092 Å, b = 7.092 Å, c = 7.092 Å
α = 90.00°, β = 90.00°, γ = 90.00°
Sites, in units of the cell vectors:
La1 0.250 0.250 0.250
La2 0.750 0.250 0.250
La3 0.750 0.750 0.750
La4 0.250 0.750 0.750
La5 0.750 0.250 0.750
La6 0.750 0.750 0.250
La7 0.250 0.250 0.750
La8 0.250 0.750 0.250
W1 0.000 0.500 0.500
W2 0.500 0.000 0.500
W3 0.000 0.000 0.000
W4 0.500 0.500 0.000

Calculated values
The mass density is 8.60 g/cm³. For the total magnetic moment, the calculation gives 0.00 μB/f.u. The value obtained for the formation energy is 0.70 eV/atom. The energy above the most stable polymorph in this dataset comes out at 0.369 eV/atom. Its crystal system is cubic. The total energy is -6.904 eV per atom. As for the symmetry: No. 225.

***

First-principles (PBE) data for a relaxed structure of MnS2BrCl, as listed in the Alexandria database.

a = 4.448 Å, b = 4.448 Å, c = 4.728 Å
α = 90.00°, β = 90.00°, γ = 90.00°
Sites, in units of the cell vectors:
S1 0.000 0.500 0.000
S2 0.500 0.000 0.000
Cl1 0.000 0.000 0.500
Mn1 0.000 0.000 0.000
Br1 0.500 0.500 0.500

Calculated values
The mass density is 4.16 g/cm³. For the total magnetic moment, the calculation gives 0.00 μB/f.u. The value obtained for the uncorrected formation energy is 231 meV per atom. The energy above the most stable polymorph in this dataset comes out at 0.000 eV/atom. Its crystal system is tetragonal. The total energy is -3.958 eV per atom. As for the symmetry: No. 123.

***

First-principles (PBE) data for a relaxed structure of Ce3PaOs3, as listed in the Alexandria database.

a = 7.184 Å, b = 7.184 Å, c = 6.493 Å
α = 81.39°, β = 81.39°, γ = 81.13°
Each line ends with the local moment (μB).
Sites, in units of the cell vectors:
Os1 0.995 0.490 0.766  -0.03
Os2 0.510 0.005 0.234  -0.03
Os3 0.005 0.510 0.234  -0.03
Os4 0.942 0.942 0.219  -0.02
Os5 0.058 0.058 0.781  -0.02
Os6 0.490 0.995 0.766  -0.03
Ce1 0.690 0.690 0.484  0.19
Ce2 0.197 0.803 0.500  0.07
Ce3 0.705 0.295 0.000  0.32
Ce4 0.310 0.310 0.516  0.19
Ce5 0.803 0.197 0.500  0.07
Ce6 0.295 0.705 0.000  0.32
Pa1 0.205 0.205 0.071  0.05
Pa2 0.795 0.795 0.929  0.05

Calculated values
The mass density is 12.50 g/cm³. For the total magnetic moment, the calculation gives 0.73 μB/f.u. The value obtained for the formation energy is -0.18 eV/atom. Its crystal system is monoclinic. The total energy is -8.895 eV per atom. As for the symmetry: No. 12.

***

First-principles (PBE) data for a relaxed structure of K2NaSbF6, as listed in the Alexandria database.

a = 6.313 Å, b = 6.313 Å, c = 6.313 Å
α = 60.00°, β = 60.00°, γ = 60.00°
Sites, in units of the cell vectors:
F1 0.246 0.754 0.246
F2 0.754 0.246 0.754
F3 0.246 0.754 0.754
F4 0.246 0.246 0.754
F5 0.754 0.246 0.246
F6 0.754 0.754 0.246
Sb1 0.000 0.000 0.000
Na1 0.500 0.500 0.500
K1 0.250 0.250 0.250
K2 0.750 0.750 0.750

Calculated values
The mass density is 3.15 g/cm³. For the total magnetic moment, the calculation gives 0.00 μB/f.u. The value obtained for the uncorrected formation energy is -2620 meV per atom. Its crystal system is cubic. The total energy is -4.507 eV per atom. As for the symmetry: No. 225.

***

First-principles (PBE) data for a relaxed structure of GdAu2, as listed in the Alexandria database.

a = 3.779 Å, b = 3.779 Å, c = 5.311 Å
α = 110.82°, β = 110.82°, γ = 90.00°
Each line ends with the local moment (μB).
Sites, in units of the cell vectors:
Au1 0.665 0.665 0.331  -0.01
Au2 0.335 0.335 0.669  -0.01
Gd1 0.000 0.000 0.000  6.98

Calculated values
The mass density is 13.95 g/cm³. For the total magnetic moment, the calculation gives 7.08 μB/f.u. The value obtained for the formation energy is -0.82 eV/atom. Its crystal system is tetragonal. The total energy is -7.697 eV per atom. As for the symmetry: No. 139.

***

First-principles (PBE) data for a relaxed structure of Li2Ag4Pt, as listed in the Alexandria database.

a = 9.525 Å, b = 5.373 Å, c = 7.151 Å
α = 137.02°, β = 90.00°, γ = 90.00°
Sites, in units of the cell vectors:
Pt1 0.500 0.500 0.000
Pt2 0.000 0.000 0.000
Ag1 0.265 0.822 0.024
Ag2 0.735 0.178 0.976
Ag3 0.235 0.321 0.024
Ag4 0.155 0.555 0.513
Ag5 0.655 0.945 0.487
Ag6 0.345 0.055 0.513
Ag7 0.765 0.679 0.976
Ag8 0.845 0.445 0.487
Li1 0.958 0.677 0.255
Li2 0.458 0.823 0.745
Li3 0.542 0.177 0.255
Li4 0.042 0.323 0.745

Calculated values
The mass density is 8.52 g/cm³. For the total magnetic moment, the calculation gives 0.00 μB/f.u. The value obtained for the formation energy is -0.12 eV/atom. Its crystal system is monoclinic. The total energy is -3.157 eV per atom. As for the symmetry: No. 14.

***

First-principles (PBE) data for a relaxed structure of TaOF3, as listed in the Alexandria database.

a = 3.985 Å, b = 3.985 Å, c = 3.985 Å
α = 90.00°, β = 90.00°, γ = 90.00°
Sites, in units of the cell vectors:
O1 0.500 0.500 0.500
Ta1 0.000 0.000 0.000
F1 0.500 0.000 0.000
F2 0.000 0.500 0.000
F3 0.000 0.000 0.500

Calculated values
The mass density is 6.66 g/cm³. For the total magnetic moment, the calculation gives 0.00 μB/f.u. The value obtained for the uncorrected formation energy is -1601 meV per atom. Its crystal system is cubic. The total energy is -6.086 eV per atom. As for the symmetry: No. 221.